[1]
Here is a crystal of InIrN2F relaxed with PBEsol from the Alexandria database. Energies are from SCAN.

Calculated values
D(E_F)   2.578 states/eV/f.u.
M_tot   0.96 Bohr magnetons per cell
Total energy   -23.89 eV per atom

a b c (Å): 4.1530 4.1530 3.9358
angles (deg): 90.00 90.00 90.00
Space group P4/mmm (No. 123)
Asymmetric unit:
In 0.0000 0.0000 0.0000 x1
Ir 0.5000 0.5000 0.5000 x1
N 0.0000 0.5000 0.0000 x2
F 0.0000 0.0000 0.5000 x1

***

[2]
Here is a crystal of LaYMg2 relaxed with PBEsol from the Alexandria database. Energies are from SCAN.

Calculated values
D(E_F)   3.102 states/eV/f.u.
Formation enthalpy at 0 K   -60 meV/atom
M_tot   0.24 Bohr magnetons per cell

a b c (Å): 3.7274 5.4817 10.9371
angles (deg): 90.00 90.00 90.00
Space group Imm2 (No. 44)
Asymmetric unit:
La 0.0000 0.0000 0.0000 x2
Y 0.0000 0.5000 0.2318 x2
Mg 0.0000 0.0000 0.4760 x2
Mg 0.0000 0.5000 0.7642 x2